Material: Rb2CoNF6
Method: DFT, PBE+U
State: relaxed Values from VASP.

Total DFT energy (no corrections) ... -4.159 eV/atom
Total magnetization ... 0.400 μB/atom

Geometry as Quantum ESPRESSO input:
```
&SYSTEM
  ibrav = 0, nat = 10, ntyp = 4
/
ATOMIC_SPECIES
N 14.01 N.upf
F 19.00 F.upf
Rb 85.47 Rb.upf
Co 58.93 Co.upf
ATOMIC_POSITIONS angstrom
N 2.770 2.770 0.000
F 5.541 5.541 1.880
F 4.082 4.082 0.000
F 1.459 1.459 0.000
F 1.459 4.082 0.000
F 2.770 2.770 3.130
F 4.082 1.459 0.000
Rb 5.541 2.770 2.505
Rb 2.770 5.541 2.505
Co 0.000 0.000 0.000
CELL_PARAMETERS angstrom
5.541 0.000 0.000
0.000 5.541 0.000
2.770 2.770 5.010
```